No. 1
Entry from Alexandria via LeMat-Bulk: a relaxed Ge2SbOsS crystal (GGA-PBEsol).

a = 5.1400 Å, b = 5.1400 Å, c = 4.7657 Å
α = 90.00°, β = 90.00°, γ = 90.00°
Fractional positions:
Ge 0.0000 0.5000 0.0000
Ge 0.5000 0.0000 0.0000
Sb 0.0000 0.0000 0.0000
Os 0.5000 0.5000 0.5000
S 0.0000 0.0000 0.5000

Raw total energy (eV/atom): -4.303



No. 2
Entry from Alexandria via LeMat-Bulk: a relaxed GeSbOs3 crystal (GGA-PBEsol).

a = 4.5277 Å, b = 4.5277 Å, c = 4.5277 Å
α = 90.00°, β = 90.00°, γ = 90.00°
Fractional positions:
Ge 0.0000 0.0000 0.0000
Sb 0.5000 0.5000 0.5000
Os 0.0000 0.0000 0.5000
Os 0.0000 0.5000 0.0000
Os 0.5000 0.0000 0.0000

Raw total energy (eV/atom): -7.565



No. 3
Entry from Alexandria via LeMat-Bulk: a relaxed GeSb2Os2 crystal (GGA-PBEsol).

a = 4.6630 Å, b = 4.6630 Å, c = 9.6682 Å
α = 90.00°, β = 90.00°, γ = 90.00°
Fractional positions:
Ge 0.0000 0.0000 0.0000
Ge 0.5000 0.5000 0.5000
Sb 0.0000 0.5000 0.2500
Sb 0.0000 0.5000 0.7500
Sb 0.5000 0.0000 0.2500
Sb 0.5000 0.0000 0.7500
Os 0.0000 0.0000 0.3783
Os 0.0000 0.0000 0.6217
Os 0.5000 0.5000 0.1217
Os 0.5000 0.5000 0.8783

Raw total energy (eV/atom): -7.001



No. 4
Entry from Alexandria via LeMat-Bulk: a relaxed Si2GeSbOs crystal (GGA-PBEsol).

a = 4.5049 Å, b = 4.5049 Å, c = 5.4615 Å
α = 90.00°, β = 90.00°, γ = 90.00°
Fractional positions:
Si 0.0000 0.5000 0.0000
Si 0.5000 0.0000 0.0000
Ge 0.0000 0.0000 0.5000
Sb 0.5000 0.5000 0.5000
Os 0.5000 0.5000 0.0000

Raw total energy (eV/atom): -6.075



No. 5
Entry from Alexandria via LeMat-Bulk: a relaxed ScGe3Os crystal (GGA-PBEsol).

a = 4.7462 Å, b = 4.7462 Å, c = 4.7462 Å
α = 90.00°, β = 90.00°, γ = 90.00°
Fractional positions:
Sc 0.0000 0.0000 0.0000
Ge 0.0000 0.5000 0.5000
Ge 0.5000 0.0000 0.5000
Ge 0.5000 0.5000 0.0000
Os 0.5000 0.5000 0.5000

Formation energy (kcal/mol of atoms): 9.07



No. 6
Entry from Alexandria via LeMat-Bulk: a relaxed ScGe2Os crystal (GGA-PBEsol).

a = 9.2374 Å, b = 10.2988 Å, c = 8.1312 Å
α = 90.00°, β = 90.00°, γ = 90.00°
Fractional positions:
Sc 0.1643 0.1773 0.0000
Sc 0.1771 0.4492 0.2448
Sc 0.1771 0.4492 0.7552
Sc 0.3229 0.9492 0.2448
Sc 0.3229 0.9492 0.7552
Sc 0.3357 0.6773 0.0000
Sc 0.6643 0.3227 0.0000
Sc 0.6771 0.0508 0.2448
Sc 0.6771 0.0508 0.7552
Sc 0.8229 0.5508 0.2448
Sc 0.8229 0.5508 0.7552
Sc 0.8357 0.8227 0.0000
Ge 0.0311 0.6175 0.5000
Ge 0.0340 0.6154 0.0000
Ge 0.1326 0.9009 0.5000
Ge 0.1358 0.8977 0.0000
Ge 0.1634 0.1793 0.3466
Ge 0.1634 0.1793 0.6534
Ge 0.3366 0.6793 0.3466
Ge 0.3366 0.6793 0.6534
Ge 0.3642 0.3977 0.0000
Ge 0.3674 0.4009 0.5000
Ge 0.4660 0.1154 0.0000
Ge 0.4689 0.1175 0.5000
Ge 0.5311 0.8825 0.5000
Ge 0.5340 0.8846 0.0000
Ge 0.6326 0.5991 0.5000
Ge 0.6358 0.6023 0.0000
Ge 0.6634 0.3207 0.3466
Ge 0.6634 0.3207 0.6534
Ge 0.8366 0.8207 0.3466
Ge 0.8366 0.8207 0.6534
Ge 0.8642 0.1023 0.0000
Ge 0.8674 0.0991 0.5000
Ge 0.9660 0.3846 0.0000
Ge 0.9689 0.3825 0.5000
Os 0.0000 0.0000 0.2467
Os 0.0000 0.0000 0.7533
Os 0.0868 0.7373 0.2484
Os 0.0868 0.7373 0.7516
Os 0.4132 0.2373 0.2484
Os 0.4132 0.2373 0.7516
Os 0.5000 0.5000 0.2467
Os 0.5000 0.5000 0.7533
Os 0.5868 0.7627 0.2484
Os 0.5868 0.7627 0.7516
Os 0.9132 0.2627 0.2484
Os 0.9132 0.2627 0.7516

Formation energy (kcal/mol of atoms): -13.65



No. 7
Entry from Alexandria via LeMat-Bulk: a relaxed SrScGe2Os crystal (GGA-PBEsol).

a = 4.7740 Å, b = 4.7740 Å, c = 5.5605 Å
α = 90.00°, β = 90.00°, γ = 90.00°
Fractional positions:
Sr 0.0000 0.0000 0.0000
Sc 0.5000 0.5000 0.0000
Ge 0.0000 0.5000 0.5000
Ge 0.5000 0.0000 0.5000
Os 0.0000 0.0000 0.5000

Formation energy (kcal/mol of atoms): 9.74



No. 8
Entry from Alexandria via LeMat-Bulk: a relaxed ScTc2GeOs crystal (GGA-PBEsol).

a = 4.3613 Å, b = 4.3613 Å, c = 4.6549 Å
α = 90.00°, β = 90.00°, γ = 90.00°
Fractional positions:
Sc 0.0000 0.0000 0.0000
Tc 0.0000 0.5000 0.0000
Tc 0.5000 0.0000 0.0000
Ge 0.0000 0.0000 0.5000
Os 0.5000 0.5000 0.5000

Formation energy (kcal/mol of atoms): 49.25



No. 9
Entry from Alexandria via LeMat-Bulk: a relaxed GeOs3Se crystal (GGA-PBEsol).

a = 4.5003 Å, b = 4.5003 Å, c = 4.5003 Å
α = 90.00°, β = 90.00°, γ = 90.00°
Fractional positions:
Ge 0.0000 0.0000 0.0000
Os 0.0000 0.0000 0.5000
Os 0.0000 0.5000 0.0000
Os 0.5000 0.0000 0.0000
Se 0.5000 0.5000 0.5000

Raw total energy (eV/atom): -7.059



No. 10
Entry from Alexandria via LeMat-Bulk: a relaxed SiGeOs3 crystal (GGA-PBEsol).

a = 4.3674 Å, b = 4.3674 Å, c = 4.3674 Å
α = 90.00°, β = 90.00°, γ = 90.00°
Fractional positions:
Si 0.0000 0.0000 0.0000
Ge 0.5000 0.5000 0.5000
Os 0.0000 0.0000 0.5000
Os 0.0000 0.5000 0.0000
Os 0.5000 0.0000 0.0000

Raw total energy (eV/atom): -8.078



No. 11
Entry from Alexandria via LeMat-Bulk: a relaxed TaSnGeOs2 crystal (GGA-PBEsol).

a = 4.7395 Å, b = 4.7395 Å, c = 4.8040 Å
α = 90.00°, β = 90.00°, γ = 90.00°
Fractional positions:
Ta 0.0000 0.0000 0.0000
Sn 0.5000 0.5000 0.5000
Ge 0.5000 0.5000 0.0000
Os 0.0000 0.5000 0.5000
Os 0.5000 0.0000 0.5000

Formation energy (kcal/mol of atoms): 55.66



No. 12
Entry from Alexandria via LeMat-Bulk: a relaxed Sr2GeOs crystal (GGA-PBEsol).

a = 7.2779 Å, b = 7.2779 Å, c = 7.2779 Å
α = 90.00°, β = 90.00°, γ = 90.00°
Fractional positions:
Sr 0.2500 0.2500 0.2500
Sr 0.2500 0.2500 0.7500
Sr 0.2500 0.7500 0.2500
Sr 0.2500 0.7500 0.7500
Sr 0.7500 0.2500 0.2500
Sr 0.7500 0.2500 0.7500
Sr 0.7500 0.7500 0.2500
Sr 0.7500 0.7500 0.7500
Ge 0.0000 0.0000 0.0000
Ge 0.0000 0.5000 0.5000
Ge 0.5000 0.0000 0.5000
Ge 0.5000 0.5000 0.0000
Os 0.0000 0.0000 0.5000
Os 0.0000 0.5000 0.0000
Os 0.5000 0.0000 0.0000
Os 0.5000 0.5000 0.5000

Formation energy (kcal/mol of atoms): 10.80



No. 13
Entry from Alexandria via LeMat-Bulk: a relaxed GeTeOs2 crystal (GGA-PBEsol).

a = 6.3342 Å, b = 6.3342 Å, c = 6.3342 Å
α = 90.00°, β = 90.00°, γ = 90.00°
Fractional positions:
Ge 0.0000 0.0000 0.0000
Ge 0.0000 0.5000 0.5000
Ge 0.5000 0.0000 0.5000
Ge 0.5000 0.5000 0.0000
Te 0.0000 0.0000 0.5000
Te 0.0000 0.5000 0.0000
Te 0.5000 0.0000 0.0000
Te 0.5000 0.5000 0.5000
Os 0.2500 0.2500 0.2500
Os 0.2500 0.2500 0.7500
Os 0.2500 0.7500 0.2500
Os 0.2500 0.7500 0.7500
Os 0.7500 0.2500 0.2500
Os 0.7500 0.2500 0.7500
Os 0.7500 0.7500 0.2500
Os 0.7500 0.7500 0.7500

Raw total energy (eV/atom): -7.603



No. 14
Entry from Alexandria via LeMat-Bulk: a relaxed Ge3TeOs crystal (GGA-PBEsol).

a = 5.1179 Å, b = 5.1179 Å, c = 5.1179 Å
α = 90.00°, β = 90.00°, γ = 90.00°
Fractional positions:
Ge 0.0000 0.0000 0.5000
Ge 0.0000 0.5000 0.0000
Ge 0.5000 0.0000 0.0000
Te 0.0000 0.0000 0.0000
Os 0.5000 0.5000 0.5000

Raw total energy (eV/atom): -3.980



No. 15
Entry from Alexandria via LeMat-Bulk: a relaxed TiGe2TeOs crystal (GGA-PBEsol).

a = 4.6640 Å, b = 4.6640 Å, c = 5.0397 Å
α = 90.00°, β = 90.00°, γ = 90.00°
Fractional positions:
Ti 0.0000 0.0000 0.0000
Ge 0.0000 0.5000 0.5000
Ge 0.5000 0.0000 0.5000
Te 0.5000 0.5000 0.0000
Os 0.0000 0.0000 0.5000

Raw total energy (eV/atom): -6.601



No. 16
Entry from Alexandria via LeMat-Bulk: a relaxed TiGeOs3 crystal (GGA-PBEsol).

a = 4.4265 Å, b = 4.4265 Å, c = 4.4265 Å
α = 90.00°, β = 90.00°, γ = 90.00°
Fractional positions:
Ti 0.0000 0.0000 0.0000
Ge 0.5000 0.5000 0.5000
Os 0.0000 0.5000 0.5000
Os 0.5000 0.0000 0.5000
Os 0.5000 0.5000 0.0000

Formation energy (kcal/mol of atoms): 29.99



No. 17
Entry from Alexandria via LeMat-Bulk: a relaxed Tm3Ge13Os4 crystal (GGA-PBEsol).

a = 8.9246 Å, b = 8.9246 Å, c = 8.9246 Å
α = 90.00°, β = 90.00°, γ = 90.00°
Fractional positions:
Tm 0.0000 0.2500 0.5000
Tm 0.0000 0.7500 0.5000
Tm 0.2500 0.5000 0.0000
Tm 0.5000 0.0000 0.2500
Tm 0.5000 0.0000 0.7500
Tm 0.7500 0.5000 0.0000
Ge 0.0000 0.0000 0.0000
Ge 0.0000 0.3002 0.1444
Ge 0.0000 0.3002 0.8556
Ge 0.0000 0.6998 0.1444
Ge 0.0000 0.6998 0.8556
Ge 0.1444 0.0000 0.3002
Ge 0.1444 0.0000 0.6998
Ge 0.1998 0.5000 0.3556
Ge 0.1998 0.5000 0.6444
Ge 0.3002 0.1444 0.0000
Ge 0.3002 0.8556 0.0000
Ge 0.3556 0.1998 0.5000
Ge 0.3556 0.8002 0.5000
Ge 0.5000 0.3556 0.1998
Ge 0.5000 0.3556 0.8002
Ge 0.5000 0.5000 0.5000
Ge 0.5000 0.6444 0.1998
Ge 0.5000 0.6444 0.8002
Ge 0.6444 0.1998 0.5000
Ge 0.6444 0.8002 0.5000
Ge 0.6998 0.1444 0.0000
Ge 0.6998 0.8556 0.0000
Ge 0.8002 0.5000 0.3556
Ge 0.8002 0.5000 0.6444
Ge 0.8556 0.0000 0.3002
Ge 0.8556 0.0000 0.6998
Os 0.2500 0.2500 0.2500
Os 0.2500 0.2500 0.7500
Os 0.2500 0.7500 0.2500
Os 0.2500 0.7500 0.7500
Os 0.7500 0.2500 0.2500
Os 0.7500 0.2500 0.7500
Os 0.7500 0.7500 0.2500
Os 0.7500 0.7500 0.7500

Formation energy (kcal/mol of atoms): -8.78



No. 18
Entry from Alexandria via LeMat-Bulk: a relaxed Tm5Ge10Os4 crystal (GGA-PBEsol).

a = 12.8954 Å, b = 12.8954 Å, c = 4.2148 Å
α = 90.00°, β = 90.00°, γ = 90.00°
Fractional positions:
Tm 0.0000 0.0000 0.0000
Tm 0.1184 0.3816 0.5000
Tm 0.1716 0.6716 0.5000
Tm 0.3284 0.1716 0.5000
Tm 0.3816 0.8816 0.5000
Tm 0.5000 0.5000 0.0000
Tm 0.6184 0.1184 0.5000
Tm 0.6716 0.8284 0.5000
Tm 0.8284 0.3284 0.5000
Tm 0.8816 0.6184 0.5000
Ge 0.0075 0.8442 0.5000
Ge 0.0671 0.5671 0.0000
Ge 0.1558 0.0075 0.5000
Ge 0.1653 0.1976 0.0000
Ge 0.1976 0.8347 0.0000
Ge 0.3024 0.3347 0.0000
Ge 0.3347 0.6976 0.0000
Ge 0.3442 0.5075 0.5000
Ge 0.4329 0.0671 0.0000
Ge 0.4925 0.3442 0.5000
Ge 0.5075 0.6558 0.5000
Ge 0.5671 0.9329 0.0000
Ge 0.6558 0.4925 0.5000
Ge 0.6653 0.3024 0.0000
Ge 0.6976 0.6653 0.0000
Ge 0.8024 0.1653 0.0000
Ge 0.8347 0.8024 0.0000
Ge 0.8442 0.9925 0.5000
Ge 0.9329 0.4329 0.0000
Ge 0.9925 0.1558 0.5000
Os 0.0176 0.7517 0.0000
Os 0.2483 0.0176 0.0000
Os 0.2517 0.5176 0.0000
Os 0.4824 0.2517 0.0000
Os 0.5176 0.7483 0.0000
Os 0.7483 0.4824 0.0000
Os 0.7517 0.9824 0.0000
Os 0.9824 0.2483 0.0000

Formation energy (kcal/mol of atoms): -13.43



No. 19
Entry from Alexandria via LeMat-Bulk: a relaxed Tm4Ge6Os7 crystal (GGA-PBEsol).

a = 7.1244 Å, b = 7.1244 Å, c = 7.1244 Å
α = 109.47°, β = 109.47°, γ = 109.47°
Fractional positions:
Tm 0.0000 0.0000 0.5000
Tm 0.0000 0.5000 0.0000
Tm 0.5000 0.0000 0.0000
Tm 0.5000 0.5000 0.5000
Ge 0.0000 0.3089 0.3089
Ge 0.0000 0.6911 0.6911
Ge 0.3089 0.0000 0.3089
Ge 0.3089 0.3089 0.0000
Ge 0.6911 0.0000 0.6911
Ge 0.6911 0.6911 0.0000
Os 0.0000 0.0000 0.0000
Os 0.2500 0.5000 0.7500
Os 0.2500 0.7500 0.5000
Os 0.5000 0.2500 0.7500
Os 0.5000 0.7500 0.2500
Os 0.7500 0.2500 0.5000
Os 0.7500 0.5000 0.2500

Formation energy (kcal/mol of atoms): -11.10



No. 20
Entry from Alexandria via LeMat-Bulk: a relaxed Ge3OsW crystal (GGA-PBEsol).

a = 4.7115 Å, b = 4.7115 Å, c = 4.7115 Å
α = 90.00°, β = 90.00°, γ = 90.00°
Fractional positions:
Ge 0.0000 0.0000 0.5000
Ge 0.0000 0.5000 0.0000
Ge 0.5000 0.0000 0.0000
Os 0.0000 0.0000 0.0000
W 0.5000 0.5000 0.5000

Formation energy (kcal/mol of atoms): 32.37



No. 21
Entry from Alexandria via LeMat-Bulk: a relaxed Y3GeOs crystal (GGA-PBEsol).

a = 5.2258 Å, b = 5.2258 Å, c = 5.2258 Å
α = 90.00°, β = 90.00°, γ = 90.00°
Fractional positions:
Y 0.0000 0.0000 0.5000
Y 0.0000 0.5000 0.0000
Y 0.5000 0.0000 0.0000
Ge 0.5000 0.5000 0.5000
Os 0.0000 0.0000 0.0000

Formation energy (kcal/mol of atoms): 0.72